# 1
# Ho3Er2Te2 | Alexandria | PBE | relaxed
# - ΔE_f (raw): -4.788 eV/f.u.
# - D(E_F): 0.993 states/eV per atom
data_Ho3Er2Te2
_cell_length_a 13.048
_cell_length_b 3.928
_cell_length_c 8.436
_cell_angle_alpha 90.00
_cell_angle_beta 111.51
_cell_angle_gamma 90.00
_symmetry_space_group_name_H-M 'C 1 2/m 1'
_symmetry_Int_Tables_number 12
_symmetry_space_group_name_Hall '-C 2y'
loop_
_atom_site_label
_atom_site_fract_x
_atom_site_fract_y
_atom_site_fract_z
_atom_site_occupancy
Ho1 0.000 0.000 0.000 1
Ho2 0.117 0.000 0.443 1
Er1 0.136 0.500 0.798 1
Te1 0.183 0.500 0.205 1

# 2
# IClO2 | Alexandria | PBE | relaxed
# - ΔE_f (raw): -0.519 eV/f.u.
# - ΔE to the lowest computed polymorph: 23.8 meV per atom
# - D(E_F): 0.000 states/eV per atom
data_IClO2
_cell_length_a 5.238
_cell_length_b 7.776
_cell_length_c 10.695
_cell_angle_alpha 90.00
_cell_angle_beta 90.00
_cell_angle_gamma 90.00
_symmetry_space_group_name_H-M 'P n n a'
_symmetry_Int_Tables_number 52
_symmetry_space_group_name_Hall '-P 2a 2bc'
loop_
_atom_site_label
_atom_site_fract_x
_atom_site_fract_y
_atom_site_fract_z
_atom_site_occupancy
I1 0.250 0.000 0.081 1
Cl1 0.104 0.250 0.250 1
O1 0.081 0.140 0.954 1

Electronic total energy: -67.9; -55.3 (eV per cell)